DFT (PBE+U) results for BiW2O8 after structural relaxation.

**Fermi-level density of states**: 2.98 states/eV per cell
**Excess energy over the best structure of this formula in the dataset**: 381 meV/atom
**Theoretical density**: 8.6 g/cm3

abc: 4.8697 4.8697 6.6920
angles: 111.34 111.34 90.00
Last column: nearest neighbours and their distance in Å.
Positions (direct):
Bi: 0.5000 0.5000 0.0000  8 O 2.42
O: 0.3993 0.3993 0.2973  2 W 2.08, 1 O 2.33
O: 0.6007 0.1020 0.7027  2 W 2.08, 1 O 2.33
O: 0.1020 0.1020 0.7027  2 W 2.08, 1 O 2.33
O: 0.3993 0.8980 0.2973  2 W 2.08, 1 O 2.33
O: 0.8980 0.3993 0.2973  2 W 2.08, 1 O 2.33
O: 0.8980 0.8980 0.2973  2 W 2.08, 1 O 2.33
O: 0.6007 0.6007 0.7027  2 W 2.08, 1 O 2.33
O: 0.1020 0.6007 0.7027  2 W 2.08, 1 O 2.33
W: 0.2500 0.7500 0.5000  8 O 2.08
W: 0.7500 0.2500 0.5000  8 O 2.08